Entry 1:
DFT (PBE) results for a relaxed PrSm6Cd5 crystal.

Geometry as POSCAR:
```
PrSm6Cd5
1.0
5.170 0.022 -1.509
-1.082 6.927 -3.607
-0.055 0.414 9.429
Pr Sm Cd
1 6 5
Cartesian
0.000 0.000 0.000
3.629 4.237 2.886
4.152 0.891 4.628
1.799 5.045 -3.376
2.289 1.904 -1.740
-0.119 6.473 -0.315
0.404 3.126 1.428
3.204 1.222 1.386
1.312 2.565 4.532
-0.541 3.464 -1.804
2.721 4.798 -0.219
0.829 6.141 2.928
```

ΔH_f (0 K)	-2.56	eV per formula unit
space-group type	Immm, No. 71
energy	-3.35	eV per atom

---

Entry 2:
DFT (PBE) results for a relaxed Pr8Sm5Cd crystal.

Geometry as POSCAR:
```
Pr8Sm5Cd
1.0
-8.838 0.194 2.056
4.059 -7.298 -3.314
6.591 -0.151 6.238
Pr Sm Cd
8 5 1
Cartesian
2.070 -5.044 -1.824
-4.768 -0.285 5.448
3.838 -3.228 0.641
2.114 -2.734 5.475
-0.522 -4.517 0.318
5.426 -6.948 3.792
0.958 -2.234 2.312
-1.817 -4.031 3.565
-1.530 -1.714 6.976
-3.606 -5.922 0.518
1.864 -5.512 3.463
2.932 -7.276 0.846
-1.912 -1.168 0.952
4.686 -3.712 3.822
```

ΔH_f (0 K)	1.56	eV per formula unit
space-group type	C2, No. 5
energy	-4.37	eV per atom

---

Entry 3:
DFT (PBE) results for a relaxed PrSm2Cd5 crystal.

Geometry as POSCAR:
```
PrSm2Cd5
1.0
5.240 0.000 0.000
0.000 5.240 0.000
-2.620 -2.620 7.675
Pr Sm Cd
1 2 5
Cartesian
0.000 0.000 0.000
2.620 2.620 3.610
0.000 0.000 4.065
2.620 2.620 0.000
2.620 0.000 5.827
0.000 2.620 5.827
0.000 2.620 1.848
2.620 0.000 1.848
```

ΔH_f (0 K)	-2.55	eV per formula unit
space-group type	I4/mmm, No. 139
energy	-2.67	eV per atom

---

Entry 4:
DFT (PBE) results for a relaxed PrSm3Cd3 crystal.

Geometry as POSCAR:
```
PrSm3Cd3
1.0
-3.997 1.499 -6.389
-6.392 0.481 4.238
1.153 7.071 0.937
Pr Sm Cd
2 6 6
Cartesian
-7.658 1.461 -1.586
-1.577 7.591 0.372
-7.094 5.005 -1.119
-5.204 4.277 1.996
-4.031 4.775 -3.209
-5.783 0.740 1.538
-4.605 1.241 -3.689
-2.141 4.047 -0.095
0.293 1.795 0.238
-6.329 7.017 -3.568
-7.525 6.508 1.742
-2.906 2.035 2.354
-1.710 2.544 -2.955
-9.528 7.257 -1.452
```

ΔH_f (0 K)	-1.11	eV per formula unit
space-group type	C2/m, No. 12
energy	-3.26	eV per atom

---

Entry 5:
DFT (PBE) results for a relaxed Pr5SmCd6 crystal.

Geometry as POSCAR:
```
Pr5SmCd6
1.0
-3.838 3.083 -2.362
-1.075 -5.484 -5.411
-7.641 -1.978 3.523
Pr Sm Cd
5 1 6
Cartesian
-8.179 -1.999 -1.941
-3.825 0.369 0.386
-0.537 -2.742 -2.706
-7.654 0.736 0.775
-4.375 -2.381 -2.310
0.000 0.000 0.000
-6.531 -2.204 -4.887
-5.988 0.568 -2.152
-2.184 0.193 -2.512
-2.729 -2.595 -5.262
-6.567 -4.947 -2.099
-6.023 -2.176 0.636
```

ΔH_f (0 K)	-3.81	eV per formula unit
space-group type	Cmmm, No. 65
energy	-3.16	eV per atom

---

Entry 6:
DFT (PBE) results for a relaxed Pr2Sm3Cd3 crystal.

Geometry as POSCAR:
```
Pr2Sm3Cd3
1.0
3.809 0.000 -0.613
-0.206 5.324 -1.280
-0.048 0.024 11.833
Pr Sm Cd
2 3 3
Cartesian
0.834 4.098 5.182
2.720 1.250 4.758
1.332 2.041 8.272
2.222 3.307 1.668
1.904 0.000 -0.307
3.152 4.731 7.440
-0.103 2.662 -0.640
0.403 0.617 2.499
```

ΔH_f (0 K)	-1.82	eV per formula unit
space-group type	Immm, No. 71
energy	-3.54	eV per atom
offset from the most stable computed form	0.000	eV per atom

---

- Which of these has the lowest ΔH_f (0 K)?
  Pr5SmCd6

---

- The highest energy belongs to which entry?
  PrSm2Cd5

---

- Look up the energy of the first one.
  -3.35 eV per atom

---

- The highest energy belongs to which entry?
  PrSm2Cd5